No. 1
Computed, not measured: an optimized crystal structure of NaLi2Tm at the PBE-GGA level of DFT.

a = 3.4574 Å, b = 3.4574 Å, c = 8.8742 Å
α = 90.00°, β = 90.00°, γ = 90.00°
Last column: nearest neighbours and their distance in Å.
Fractional coordinates of all 4 atoms:
Tm 0.5000 0.5000 0.5000  8 Li 3.30, 4 Tm 3.46
Li 0.0000 0.0000 0.2495  4 Na 3.30, 4 Tm 3.30, 4 Li 3.46
Li 0.0000 0.0000 0.7505  4 Na 3.30, 4 Tm 3.30, 4 Li 3.46
Na 0.5000 0.5000 0.0000  8 Li 3.30, 4 Na 3.46

Results
- energy above the most stable polymorph in this dataset (eV per atom) = 0.000

=====

No. 2
Computed, not measured: an optimized crystal structure of NaLi4Tm at the PBE-GGA level of DFT.

a = 5.8863 Å, b = 5.8863 Å, c = 5.8863 Å
α = 60.00°, β = 60.00°, γ = 60.00°
Last column: nearest neighbours and their distance in Å.
Fractional coordinates of all 6 atoms:
Li 0.1264 0.6245 0.6245  6 Li 2.93-2.95
Li 0.6245 0.1264 0.6245  6 Li 2.93-2.95
Li 0.6245 0.6245 0.1264  6 Li 2.93-2.95
Li 0.6245 0.6245 0.6245  6 Li 2.93-2.95
Tm 0.2500 0.2500 0.2500  12 Li 3.45, 4 Na 3.60
Na 0.0000 0.0000 0.0000  12 Li 3.45, 4 Tm 3.60

=====

No. 3
Computed, not measured: an optimized crystal structure of NaLiTm at the PBE-GGA level of DFT.

a = 3.4995 Å, b = 3.4995 Å, c = 14.2372 Å
α = 90.00°, β = 90.00°, γ = 90.00°
Last column: nearest neighbours and their distance in Å.
Fractional coordinates of all 6 atoms:
Li 0.0000 0.5000 0.2594  4 Tm 3.35, 4 Na 3.36, 4 Li 3.50
Li 0.5000 0.0000 0.7406  4 Tm 3.35, 4 Na 3.36, 4 Li 3.50
Na 0.5000 0.0000 0.1001  4 Li 3.36, 4 Na 3.50
Na 0.0000 0.5000 0.8999  4 Li 3.36, 4 Na 3.50
Tm 0.0000 0.5000 0.5824  4 Li 3.35, 8 Tm 3.41-3.50
Tm 0.5000 0.0000 0.4176  4 Li 3.35, 8 Tm 3.41-3.50

Results
- energy above the most stable polymorph in this dataset (eV per atom) = 0.000

=====

No. 4
Computed, not measured: an optimized crystal structure of NaLiTm at the PBE-GGA level of DFT.

a = 3.3938 Å, b = 3.3938 Å, c = 8.6474 Å
α = 90.00°, β = 90.00°, γ = 120.00°
Last column: nearest neighbours and their distance in Å.
Fractional coordinates of all 3 atoms:
Tm 0.0000 0.0000 0.0188  3 Li 3.29, 6 Tm 3.39
Na 0.3333 0.6667 0.6574  6 Na 3.39, 3 Li 3.49, 3 Tm 3.69
Li 0.6667 0.3333 0.3238  3 Tm 3.29, 6 Li 3.39, 3 Na 3.49

Results
- energy above the most stable polymorph in this dataset (eV per atom) = 0.088

=====

No. 5
Computed, not measured: an optimized crystal structure of NaLi2Tm at the PBE-GGA level of DFT.

a = 3.2597 Å, b = 3.2597 Å, c = 12.1209 Å
α = 82.27°, β = 82.27°, γ = 60.00°
Last column: nearest neighbours and their distance in Å.
Fractional coordinates of all 4 atoms:
Li 0.9148 0.9148 0.2557  1 Tm 3.06, 6 Li 3.26
Li 0.0852 0.0852 0.7443  1 Tm 3.06, 6 Li 3.26
Tm 0.0000 0.0000 0.0000  2 Li 3.06, 6 Tm 3.26
Na 0.5000 0.5000 0.5000  6 Na 3.26, 6 Li 3.48

Results
- energy above the most stable polymorph in this dataset (eV per atom) = 0.062

=====

No. 6
Computed, not measured: an optimized crystal structure of Na2LiV at the PBE-GGA level of DFT.

a = 5.2859 Å, b = 5.2859 Å, c = 5.2859 Å
α = 60.00°, β = 60.00°, γ = 60.00°
Last column: nearest neighbours and their distance in Å.
Fractional coordinates of all 4 atoms:
Na 0.2500 0.2500 0.2500  4 V 3.24, 4 Li 3.24
Na 0.7500 0.7500 0.7500  4 V 3.24, 4 Li 3.24
V 0.5000 0.5000 0.5000  8 Na 3.24
Li 0.0000 0.0000 0.0000  8 Na 3.24

Results
- energy above the most stable polymorph in this dataset (eV per atom) = 0.000

=====

No. 7
Computed, not measured: an optimized crystal structure of NaLi3V at the PBE-GGA level of DFT.

a = 5.2136 Å, b = 5.2136 Å, c = 5.2136 Å
α = 90.00°, β = 90.00°, γ = 90.00°
Last column: nearest neighbours and their distance in Å.
Fractional coordinates of all 5 atoms:
Na 0.5000 0.5000 0.5000  12 Li 3.69
Li 0.0000 0.0000 0.5000  2 V 2.61
Li 0.5000 0.0000 0.0000  2 V 2.61
Li 0.0000 0.5000 0.0000  2 V 2.61
V 0.0000 0.0000 0.0000  6 Li 2.61

Results
- energy above the most stable polymorph in this dataset (eV per atom) = 0.000

=====

No. 8
Computed, not measured: an optimized crystal structure of NaLiV3 at the PBE-GGA level of DFT.

a = 4.5985 Å, b = 4.5985 Å, c = 4.5985 Å
α = 90.00°, β = 90.00°, γ = 90.00°
Last column: nearest neighbours and their distance in Å.
Fractional coordinates of all 5 atoms:
V 0.0000 0.0000 0.5000  2 Na 2.30
V 0.0000 0.5000 0.0000  2 Na 2.30
V 0.5000 0.0000 0.0000  2 Na 2.30
Li 0.5000 0.5000 0.5000  12 V 3.25
Na 0.0000 0.0000 0.0000  6 V 2.30

Results
- energy above the most stable polymorph in this dataset (eV per atom) = 0.684

=====

No. 9
Computed, not measured: an optimized crystal structure of NaLiV3 at the PBE-GGA level of DFT.

a = 4.7148 Å, b = 4.7148 Å, c = 4.7148 Å
α = 90.00°, β = 90.00°, γ = 90.00°
Last column: nearest neighbours and their distance in Å.
Fractional coordinates of all 5 atoms:
V 0.5000 0.0000 0.0000  2 Li 2.36
V 0.0000 0.5000 0.0000  2 Li 2.36
V 0.0000 0.0000 0.5000  2 Li 2.36
Li 0.0000 0.0000 0.0000  6 V 2.36
Na 0.5000 0.5000 0.5000  12 V 3.33

Results
- energy above the most stable polymorph in this dataset (eV per atom) = 0.000

=====

No. 10
Computed, not measured: an optimized crystal structure of Na2LiV at the PBE-GGA level of DFT.

a = 8.2451 Å, b = 8.2451 Å, c = 6.5665 Å
α = 51.11°, β = 51.11°, γ = 90.00°
Last column: nearest neighbours and their distance in Å.
Fractional coordinates of all 8 atoms:
V 0.0000 0.0000 0.0000  2 Li 3.02, 4 Na 3.13
V 0.7500 0.2500 0.5000  2 Li 3.02, 4 Na 3.13
Li 0.2500 0.7500 0.5000  4 Na 2.89, 2 V 3.02
Li 0.5000 0.5000 0.0000  4 Na 2.89, 2 V 3.02
Na 0.3750 0.3961 0.7500  2 Li 2.89, 2 Na 3.04, 2 V 3.13
Na 0.1461 0.6250 0.2500  2 Li 2.89, 2 Na 3.04, 2 V 3.13
Na 0.6039 0.1250 0.2500  2 Li 2.89, 2 Na 3.04, 2 V 3.13
Na 0.8750 0.8539 0.7500  2 Li 2.89, 2 Na 3.04, 2 V 3.13

Results
- energy above the most stable polymorph in this dataset (eV per atom) = 0.058

=====

No. 11
Computed, not measured: an optimized crystal structure of NaLiW3 at the PBE-GGA level of DFT.

a = 4.3527 Å, b = 4.3527 Å, c = 4.3527 Å
α = 90.00°, β = 90.00°, γ = 90.00°
Last column: nearest neighbours and their distance in Å.
Fractional coordinates of all 5 atoms:
Na 0.5000 0.5000 0.5000  12 W 3.08
Li 0.0000 0.0000 0.0000  6 W 2.18
W 0.0000 0.0000 0.5000  2 Li 2.18
W 0.5000 0.0000 0.0000  2 Li 2.18
W 0.0000 0.5000 0.0000  2 Li 2.18

Results
- energy above the most stable polymorph in this dataset (eV per atom) = 0.000

=====

No. 12
Computed, not measured: an optimized crystal structure of NaLiW3 at the PBE-GGA level of DFT.

a = 4.5634 Å, b = 4.5634 Å, c = 4.5634 Å
α = 90.00°, β = 90.00°, γ = 90.00°
Last column: nearest neighbours and their distance in Å.
Fractional coordinates of all 5 atoms:
Li 0.5000 0.5000 0.5000  12 W 3.23
Na 0.0000 0.0000 0.0000  6 W 2.28
W 0.0000 0.5000 0.0000  2 Na 2.28
W 0.0000 0.0000 0.5000  2 Na 2.28
W 0.5000 0.0000 0.0000  2 Na 2.28

Results
- energy above the most stable polymorph in this dataset (eV per atom) = 1.130

=====

No. 13
Computed, not measured: an optimized crystal structure of Na3LiW at the PBE-GGA level of DFT.

a = 5.2723 Å, b = 5.2723 Å, c = 5.2723 Å
α = 90.00°, β = 90.00°, γ = 90.00°
Last column: nearest neighbours and their distance in Å.
Fractional coordinates of all 5 atoms:
Na 0.0000 0.0000 0.5000  2 Li 2.64
Na 0.0000 0.5000 0.0000  2 Li 2.64
Na 0.5000 0.0000 0.0000  2 Li 2.64
Li 0.0000 0.0000 0.0000  6 Na 2.64
W 0.5000 0.5000 0.5000  12 Na 3.73

=====

No. 14
Computed, not measured: an optimized crystal structure of Na3LiW at the PBE-GGA level of DFT.

a = 5.9649 Å, b = 5.9649 Å, c = 5.9649 Å
α = 90.00°, β = 90.00°, γ = 90.00°
Last column: nearest neighbours and their distance in Å.
Fractional coordinates of all 5 atoms:
Na 0.0000 0.5000 0.0000  2 W 2.98
Na 0.0000 0.0000 0.5000  2 W 2.98
Na 0.5000 0.0000 0.0000  2 W 2.98
Li 0.5000 0.5000 0.5000  12 Na 4.22
W 0.0000 0.0000 0.0000  6 Na 2.98

=====

No. 15
Computed, not measured: an optimized crystal structure of Na2LiW at the PBE-GGA level of DFT.

a = 5.2507 Å, b = 5.2507 Å, c = 5.2507 Å
α = 60.00°, β = 60.00°, γ = 60.00°
Last column: nearest neighbours and their distance in Å.
Fractional coordinates of all 4 atoms:
Na 0.2500 0.2500 0.2500  4 W 3.22, 4 Li 3.22
Na 0.7500 0.7500 0.7500  4 W 3.22, 4 Li 3.22
Li 0.0000 0.0000 0.0000  8 Na 3.22
W 0.5000 0.5000 0.5000  8 Na 3.22

Results
- energy above the most stable polymorph in this dataset (eV per atom) = 0.000

=====

No. 16
Computed, not measured: an optimized crystal structure of Na2LiW at the PBE-GGA level of DFT.

a = 8.2651 Å, b = 8.2651 Å, c = 6.5484 Å
α = 50.87°, β = 50.87°, γ = 90.00°
Last column: nearest neighbours and their distance in Å.
Fractional coordinates of all 8 atoms:
Na 0.8750 0.8460 0.7500  2 Li 2.86, 2 Na 2.99, 2 W 3.18
Na 0.1540 0.6250 0.2500  2 Li 2.86, 2 Na 2.99, 2 W 3.18
Na 0.3750 0.4040 0.7500  2 Li 2.86, 2 Na 2.99, 2 W 3.18
Na 0.5960 0.1250 0.2500  2 Li 2.86, 2 Na 2.99, 2 W 3.18
Li 0.5000 0.5000 0.0000  4 Na 2.86, 2 W 2.95
Li 0.2500 0.7500 0.5000  4 Na 2.86, 2 W 2.95
W 0.7500 0.2500 0.5000  2 Li 2.95, 4 Na 3.18
W 0.0000 0.0000 0.0000  2 Li 2.95, 4 Na 3.18

Results
- energy above the most stable polymorph in this dataset (eV per atom) = 0.078

=====

No. 17
Computed, not measured: an optimized crystal structure of NaLi3W at the PBE-GGA level of DFT.

a = 5.2457 Å, b = 5.2457 Å, c = 5.2457 Å
α = 90.00°, β = 90.00°, γ = 90.00°
Last column: nearest neighbours and their distance in Å.
Fractional coordinates of all 5 atoms:
Li 0.0000 0.0000 0.5000  2 W 2.62
Li 0.0000 0.5000 0.0000  2 W 2.62
Li 0.5000 0.0000 0.0000  2 W 2.62
W 0.0000 0.0000 0.0000  6 Li 2.62
Na 0.5000 0.5000 0.5000  12 Li 3.71

Results
- energy above the most stable polymorph in this dataset (eV per atom) = 0.000

=====

No. 18
Computed, not measured: an optimized crystal structure of NaLiZn2W at the PBE-GGA level of DFT.

a = 4.5937 Å, b = 3.7647 Å, c = 4.5937 Å
α = 90.00°, β = 90.00°, γ = 90.00°
Last column: nearest neighbours and their distance in Å.
Fractional coordinates of all 5 atoms:
Na 0.0000 0.0000 0.0000  2 Li 1.88
Zn 0.5000 0.0000 0.0000  2 Na 2.30
Zn 0.0000 0.0000 0.5000  2 Na 2.30
Li 0.0000 0.5000 0.0000  2 Na 1.88
W 0.5000 0.5000 0.5000  8 Zn 2.97, 4 Li 3.25

=====

No. 19
Computed, not measured: an optimized crystal structure of Na2LiZrW at the PBE-GGA level of DFT.

a = 5.0858 Å, b = 4.6382 Å, c = 5.0858 Å
α = 90.00°, β = 90.00°, γ = 90.00°
Last column: nearest neighbours and their distance in Å.
Fractional coordinates of all 5 atoms:
Zr 0.0000 0.0000 0.0000  2 Li 2.32, 4 Na 2.54
W 0.5000 0.5000 0.5000  8 Na 3.44, 4 Li 3.60
Na 0.0000 0.0000 0.5000  2 Zr 2.54
Na 0.5000 0.0000 0.0000  2 Zr 2.54
Li 0.0000 0.5000 0.0000  2 Zr 2.32

=====

No. 20
Computed, not measured: an optimized crystal structure of Na2LiY2 at the PBE-GGA level of DFT.

a = 7.1002 Å, b = 7.1002 Å, c = 5.9137 Å
α = 90.00°, β = 90.00°, γ = 90.00°
Last column: nearest neighbours and their distance in Å.
Fractional coordinates of all 10 atoms:
Y 0.1767 0.6767 0.5000  6 Na 3.48-3.72, 5 Y 3.55-3.70
Y 0.3233 0.1767 0.5000  6 Na 3.48-3.72, 5 Y 3.55-3.70
Y 0.6767 0.8233 0.5000  6 Na 3.48-3.72, 5 Y 3.55-3.70
Y 0.8233 0.3233 0.5000  6 Na 3.48-3.72, 5 Y 3.55-3.70
Li 0.5000 0.5000 0.0000  4 Na 2.74
Li 0.0000 0.0000 0.0000  4 Na 2.74
Na 0.1399 0.3601 0.0000  2 Li 2.74, 1 Na 2.81
Na 0.8601 0.6399 0.0000  2 Li 2.74, 1 Na 2.81
Na 0.6399 0.1399 0.0000  2 Li 2.74, 1 Na 2.81
Na 0.3601 0.8601 0.0000  2 Li 2.74, 1 Na 2.81

=====

no.,formation energy (eV/atom),total magnetic moment (μB/atom),mass density (g/cm3)
1,0.16,0.00,3.22
2,0.18,0.20,2.53
3,0.09,0.14,3.79
4,0.18,0.00,3.83
5,0.22,0.00,3.10
6,0.76,1.12,1.65
7,0.77,0.97,1.11
8,2.26,0.58,3.12
9,1.58,2.11,2.90
10,0.82,1.05,1.68
11,1.92,0.00,11.71
12,3.05,0.00,10.16
13,1.43,0.89,2.94
14,1.43,1.01,2.03
15,1.38,1.13,3.84
16,1.46,1.09,3.90
17,1.24,0.90,2.62
18,1.29,0.00,7.20
19,2.54,0.21,4.54
20,0.34,0.18,2.57